(1)
# Y2Pb2Se, optimized geometry, DFT PBE
# formation energy from raw total energies = -0.8205 eV/atom
data_Y2Pb2Se
_chemical_formula_sum 'Y4 Pb4 Se2'
_cell_length_a 7.692
_cell_length_b 7.692
_cell_length_c 4.845
_cell_angle_alpha 90.00
_cell_angle_beta 90.00
_cell_angle_gamma 90.00
_symmetry_space_group_name_H-M 'P 4/m b m'
_symmetry_Int_Tables_number 127
_symmetry_space_group_name_Hall '-P 4 2ab'
loop_
_atom_site_label
_atom_site_fract_x
_atom_site_fract_y
_atom_site_fract_z
Y1 0.172 0.328 0.000
Pb1 0.139 0.639 0.500
Se1 0.000 0.000 0.000


(2)
# Nd4AlPI2, optimized geometry, DFT PBE
# formation energy from raw total energies = -0.9620 eV/atom
data_Nd4AlPI2
_chemical_formula_sum 'Nd4 Al1 P1 I2'
_cell_length_a 7.575
_cell_length_b 4.204
_cell_length_c 8.189
_cell_angle_alpha 90.00
_cell_angle_beta 107.24
_cell_angle_gamma 90.00
_symmetry_space_group_name_H-M 'P 1 2/m 1'
_symmetry_Int_Tables_number 10
loop_
_symmetry_equiv_pos_as_xyz
'x,y,z'
'-x,-y,-z'
'-x,y,-z'
'x,-y,z'
loop_
_atom_site_label
_atom_site_fract_x
_atom_site_fract_y
_atom_site_fract_z
Nd1 0.222 0.000 0.194
Nd2 0.250 0.500 0.793
Al1 0.500 0.000 0.000
P1 0.000 0.500 0.000
I1 0.000 0.000 0.500
I2 0.500 0.500 0.500


| no. | VASP energy (eV/atom) |
| --- | --- |
| 1 | -5.586 |
| 2 | -4.877 |